[1]
This record from Alexandria describes a relaxed structure of Na2MgRhO4. The functional is PBE-GGA.

Cell: 3.125 5.299 5.647 Å, 108.48 90.00 90.00°
Atoms (fractional coordinates):
Rh 0.500 0.500 0.000
O 0.500 0.244 0.203
Na 0.500 0.000 0.500
O 0.000 0.276 0.798
O 0.000 0.724 0.202
O 0.500 0.756 0.797
Na 0.000 0.500 0.500
Mg 0.000 0.000 0.000

The uncorrected formation energy is -1583 meV/atom. The calculation puts the total magnetic moment at 1.00 μB/cell. Its space group is P2/m.

[2]
This record from Alexandria describes a relaxed structure of ZrTa2Ni. The functional is PBE-GGA.

Cell: 9.158 9.158 9.158 Å, 19.12 19.12 19.12°
Atoms (fractional coordinates):
Ta 0.009 0.009 0.009
Ni 0.750 0.750 0.750
Ta 0.491 0.491 0.491
Zr 0.250 0.250 0.250

Its calculated formation energy is 188 meV per atom. The calculation puts the polymorph energy (0 for the lowest one) at 256 meV/atom. The calculation puts the total magnetic moment at 0.00 μB/cell. Its space group is R-3m.